BaRh2Cl | Alexandria via LeMat-Bulk | GGA-PBE | optimized geometry; crystal system = cubic; N(E_F) = 4.3 states/eV/f.u.; ΔE_f (raw) = 397 meV per atom; magnetization = 1.14 μB per cell
1.0
0.000 3.472 3.472
3.472 0.000 3.472
3.472 3.472 0.000
Ba Rh Cl
1 2 1
direct
0.000 0.000 0.000
0.250 0.250 0.250
0.750 0.750 0.750
0.500 0.500 0.500